(1)
{
  "formula": "InIrRu2",
  "functional": "PBE-GGA",
  "state": "optimized geometry",
  "delta_e_f_ev_per_atom": 0.17,
  "space_group": "I-4m2 (119)",
  "final_energy_ha_per_atom": -0.271,
  "lattice_angstrom": [[-2.289, -4.303, 0.103], [1.153, -2.637, -3.935], [2.717, 2.360, 3.289]],
  "species": ["In", "Ru", "Ru", "Ir"],
  "frac_coords": [[0.500, 0.500, 0.000], [0.250, 0.750, 0.500], [0.000, 0.000, 0.000], [0.750, 0.250, 0.500]]
}

=====

(2)
{
  "formula": "TbCeDy6",
  "functional": "PBE-GGA",
  "state": "optimized geometry",
  "delta_e_f_ev_per_atom": 0.04,
  "space_group": "P4/mmm (123)",
  "final_energy_ha_per_atom": -0.174,
  "polymorph_energy_mev_per_atom": 0,
  "lattice_angstrom": [[-0.822, 3.346, -3.637], [-4.872, -1.167, 0.028], [-1.655, 7.072, 6.880]],
  "species": ["Ce", "Dy", "Dy", "Tb", "Dy", "Dy", "Dy", "Dy"],
  "frac_coords": [[0.000, 0.000, 0.500], [0.500, 0.500, 0.500], [0.500, 0.500, 0.000], [0.000, 0.000, 0.000], [0.500, 0.000, 0.749], [0.000, 0.500, 0.251], [0.500, 0.000, 0.251], [0.000, 0.500, 0.749]]
}

=====

(3)
{
  "formula": "In3OsBr",
  "functional": "PBE-GGA",
  "state": "optimized geometry",
  "space_group": "Pm-3m (221)",
  "final_energy_ha_per_atom": -0.155,
  "polymorph_energy_mev_per_atom": 0,
  "formation_energy_uncorrected_ev_per_atom": 0.01,
  "lattice_angstrom": [[-3.125, -2.708, -3.205], [4.006, -0.738, -3.283], [1.248, -4.415, 2.515]],
  "species": ["In", "Os", "In", "In", "Br"],
  "frac_coords": [[0.500, 0.000, 0.000], [0.000, 0.000, 0.000], [0.000, 0.000, 0.500], [0.000, 0.500, 0.000], [0.500, 0.500, 0.500]]
}